1.
The following is a DFT calculation (meta-GGA SCAN) of RbNdTiNbO6F at its PBEsol-relaxed geometry.

Fermi-level density of states = 0.00 states/eV/f.u.
total magnetization = 0.00 μB per cell
E = -17.259 eV per atom
crystal system = tetragonal
V = 162 Å³/f.u.
formation energy (no corrections) = -3.222 eV per atom

Cell lengths 3.8046, 3.8046, 11.1873 Å; angles 90.00, 90.00, 90.00 degrees
Last column: nearest neighbours and their distance in Å.
Positions (direct):
Rb  0.0000  0.0000  0.0000  8 O 2.97-3.23
Nd  0.0000  0.0000  0.4522  4 O 2.42, 4 F 2.70
Ti  0.5000  0.5000  0.2646  1 O 1.70
Nb  0.5000  0.5000  0.6808  1 O 1.78
O  0.0000  0.5000  0.3182  2 Ti 1.99
O  0.0000  0.5000  0.6269  2 Nb 2.00
O  0.5000  0.0000  0.3182  2 Ti 1.99
O  0.5000  0.0000  0.6269  2 Nb 2.00
O  0.5000  0.5000  0.1129  1 Ti 1.70
O  0.5000  0.5000  0.8399  1 Nb 1.78
F  0.5000  0.5000  0.4728  1 Nb 2.33, 1 Ti 2.33, 8 O 2.57



2.
The following is a DFT calculation (meta-GGA SCAN) of Er2WO6 at its PBEsol-relaxed geometry.

energy above the most stable polymorph in this dataset = 0.000 eV per atom
Fermi-level density of states = 0.00 states/eV/f.u.
total magnetization = 0.00 μB per cell
E = -26.427 eV per atom
crystal system = monoclinic
V = 108 Å³/f.u.
formation energy (no corrections) = -3.343 eV per atom

Cell lengths 7.5457, 5.2717, 11.2161 Å; angles 90.00, 104.89, 90.00 degrees
Last column: nearest neighbours and their distance in Å.
Positions (direct):
Er  0.0000  0.1811  0.2500  8 O 2.28-2.41
Er  0.0000  0.8189  0.7500  8 O 2.28-2.41
Er  0.2961  0.3178  0.9219  7 O 2.21-2.35
Er  0.2961  0.6822  0.4219  7 O 2.21-2.35
Er  0.5000  0.2388  0.2500  8 O 2.23-2.48
Er  0.5000  0.7612  0.7500  8 O 2.23-2.48
Er  0.7039  0.3178  0.5781  7 O 2.21-2.35
Er  0.7039  0.6822  0.0781  7 O 2.21-2.35
W  0.2222  0.2450  0.6142  6 O 1.85-2.04
W  0.2222  0.7550  0.1142  6 O 1.85-2.04
W  0.7778  0.2450  0.8858  6 O 1.85-2.04
W  0.7778  0.7550  0.3858  6 O 1.85-2.04
O  0.0130  0.1431  0.8865  1 W 1.85
O  0.0130  0.8569  0.3865  1 W 1.85
O  0.1314  0.3454  0.4495  1 W 1.87
O  0.1314  0.6546  0.9495  1 W 1.87
O  0.2124  0.4808  0.2301  1 W 1.96
O  0.2124  0.5192  0.7301  1 W 1.96
O  0.2878  0.0373  0.7734  1 W 2.04, 2 Er 2.22-2.23
O  0.2878  0.9627  0.2734  1 W 2.04, 2 Er 2.22-2.23
O  0.3508  0.0308  0.0700  1 W 1.88
O  0.3508  0.9692  0.5700  1 W 1.88
O  0.4381  0.4607  0.6031  1 W 2.02, 2 Er 2.23-2.25
O  0.4381  0.5393  0.1031  1 W 2.02, 2 Er 2.23-2.25
O  0.5619  0.4607  0.8969  1 W 2.02, 2 Er 2.23-2.25
O  0.5619  0.5393  0.3969  1 W 2.02, 2 Er 2.23-2.25
O  0.6492  0.0308  0.4300  1 W 1.88
O  0.6492  0.9692  0.9300  1 W 1.88
O  0.7122  0.0373  0.7266  1 W 2.04, 2 Er 2.22-2.23
O  0.7122  0.9627  0.2266  1 W 2.04, 2 Er 2.22-2.23
O  0.7876  0.4808  0.2699  1 W 1.96
O  0.7876  0.5192  0.7699  1 W 1.96
O  0.8686  0.3454  0.0505  1 W 1.87
O  0.8686  0.6546  0.5505  1 W 1.87
O  0.9870  0.1431  0.6135  1 W 1.85
O  0.9870  0.8569  0.1135  1 W 1.85



3.
The following is a DFT calculation (meta-GGA SCAN) of YTi2Ga4 at its PBEsol-relaxed geometry.

energy relative to the elements = -0.656 eV/atom
Fermi-level density of states = 5.05 states/eV/f.u.
total magnetization = 0.00 μB per cell
E = -18.554 eV per atom
crystal system = tetragonal
V = 120 Å³/f.u.

Cell lengths 5.4291, 5.4291, 5.4291 Å; angles 104.19, 104.19, 120.64 degrees
Last column: nearest neighbours and their distance in Å.
Positions (direct):
Y  0.0000  0.0000  0.0000  4 Ga 2.86
Ti  0.2500  0.7500  0.5000  2 Ti 2.69, 8 Ga 2.76
Ti  0.7500  0.2500  0.5000  2 Ti 2.69, 8 Ga 2.76
Ga  0.3033  0.3033  0.6066  4 Ga 2.62-2.87, 4 Ti 2.76, 1 Y 2.86
Ga  0.3033  0.6967  0.0000  4 Ga 2.62-2.87, 4 Ti 2.76, 1 Y 2.86
Ga  0.6967  0.3033  0.0000  4 Ga 2.62-2.87, 4 Ti 2.76, 1 Y 2.86
Ga  0.6967  0.6967  0.3934  4 Ga 2.62-2.87, 4 Ti 2.76, 1 Y 2.86



4.
The following is a DFT calculation (meta-GGA SCAN) of V6O11 at its PBEsol-relaxed geometry.

energy above the most stable polymorph in this dataset = 0.066 eV per atom
Fermi-level density of states = 8.15 states/eV/f.u.
total magnetization = 16.00 μB per cell
E = -12.809 eV per atom
crystal system = hexagonal
V = 178 Å³/f.u.
formation energy (no corrections) = -2.605 eV per atom

Cell lengths 5.5659, 5.5659, 13.2436 Å; angles 90.00, 90.00, 120.00 degrees
Last column: nearest neighbours and their distance in Å.
Positions (direct):
V  0.0000  0.0000  0.1494  6 O 1.85-1.98
V  0.0000  0.0000  0.3506  6 O 1.85-1.98
V  0.0000  0.0000  0.6494  6 O 1.85-1.98
V  0.0000  0.0000  0.8506  6 O 1.85-1.98
V  0.0000  0.5000  0.0000  6 O 1.92-2.03
V  0.0000  0.5000  0.5000  6 O 1.92-2.03
V  0.3333  0.6667  0.2500  3 O 1.76
V  0.5000  0.0000  0.0000  6 O 1.92-2.03
V  0.5000  0.0000  0.5000  6 O 1.92-2.03
V  0.5000  0.5000  0.0000  6 O 1.92-2.03
V  0.5000  0.5000  0.5000  6 O 1.92-2.03
V  0.6667  0.3333  0.7500  3 O 1.76
O  0.1512  0.3023  0.2500  1 V 1.76
O  0.1512  0.8488  0.2500  1 V 1.76
O  0.1659  0.3318  0.5786  3 V 1.85-1.92
O  0.1659  0.3318  0.9214  3 V 1.85-1.92
O  0.1659  0.8341  0.5786  3 V 1.85-1.92
O  0.1659  0.8341  0.9214  3 V 1.85-1.92
O  0.3023  0.1512  0.7500  1 V 1.76
O  0.3318  0.1659  0.0786  3 V 1.85-1.92
O  0.3318  0.1659  0.4214  3 V 1.85-1.92
O  0.3333  0.6667  0.0931  4 V 2.03-2.08
O  0.3333  0.6667  0.4069  4 V 2.03-2.08
O  0.6667  0.3333  0.5931  4 V 2.03-2.08
O  0.6667  0.3333  0.9069  4 V 2.03-2.08
O  0.6682  0.8341  0.5786  3 V 1.85-1.92
O  0.6682  0.8341  0.9214  3 V 1.85-1.92
O  0.6977  0.8488  0.2500  1 V 1.76
O  0.8341  0.1659  0.0786  3 V 1.85-1.92
O  0.8341  0.1659  0.4214  3 V 1.85-1.92
O  0.8341  0.6682  0.0786  3 V 1.85-1.92
O  0.8341  0.6682  0.4214  3 V 1.85-1.92
O  0.8488  0.1512  0.7500  1 V 1.76
O  0.8488  0.6977  0.7500  1 V 1.76



5.
The following is a DFT calculation (meta-GGA SCAN) of MoRu2 at its PBEsol-relaxed geometry.

energy relative to the elements = 0.007 eV/atom
Fermi-level density of states = 2.14 states/eV/f.u.
total magnetization = 0.00 μB per cell
E = -34.839 eV per atom
crystal system = monoclinic
V = 42 Å³/f.u.

Cell lengths 5.1318, 5.1318, 6.4147 Å; angles 103.39, 103.39, 30.63 degrees
Last column: nearest neighbours and their distance in Å.
Positions (direct):
Mo  0.0316  0.0316  0.3013  9 Ru 2.62-2.74, 3 Mo 2.71-2.77
Mo  0.9684  0.9684  0.6987  9 Ru 2.62-2.74, 3 Mo 2.71-2.77
Ru  0.3034  0.3034  0.3623  5 Mo 2.62-2.74, 7 Ru 2.64-2.72
Ru  0.3574  0.3574  0.9743  8 Ru 2.61-2.76, 4 Mo 2.66-2.73
Ru  0.6426  0.6426  0.0257  8 Ru 2.61-2.76, 4 Mo 2.66-2.73
Ru  0.6966  0.6966  0.6377  5 Mo 2.62-2.74, 7 Ru 2.64-2.72



6.
The following is a DFT calculation (meta-GGA SCAN) of LiFeSi2 at its PBEsol-relaxed geometry.

energy above the most stable polymorph in this dataset = 0.116 eV per atom
Fermi-level density of states = 0.74 states/eV/f.u.
total magnetization = 1.11 μB per cell
E = -10.160 eV per atom
crystal system = tetragonal
V = 46 Å³/f.u.
formation energy (no corrections) = -0.022 eV per atom

Cell lengths 3.0788, 3.0788, 4.8579 Å; angles 90.00, 90.00, 90.00 degrees
Last column: nearest neighbours and their distance in Å.
Positions (direct):
Li  0.0000  0.0000  0.0000  6 Si 2.32-2.54, 4 Fe 2.56
Fe  0.5000  0.5000  0.7225  6 Si 2.37-2.49, 4 Li 2.56
Si  0.0000  0.0000  0.5231  2 Li 2.32-2.54, 4 Fe 2.38, 4 Si 2.59
Si  0.5000  0.5000  0.2355  2 Fe 2.37-2.49, 4 Li 2.46, 4 Si 2.59



7.
The following is a DFT calculation (meta-GGA SCAN) of BeTe2P at its PBEsol-relaxed geometry.

energy above the most stable polymorph in this dataset = 0.011 eV per atom
Fermi-level density of states = 1.58 states/eV/f.u.
total magnetization = 0.00 μB per cell
E = -21.799 eV per atom
crystal system = tetragonal
V = 105 Å³/f.u.
formation energy (no corrections) = 0.515 eV per atom

Cell lengths 8.2471, 8.2471, 8.2471 Å; angles 154.33, 154.33, 36.62 degrees
Last column: nearest neighbours and their distance in Å.
Positions (direct):
Be  0.0000  0.0000  0.0000  4 Te 2.59
Te  0.2500  0.7500  0.5000  4 P 2.59
Te  0.5000  0.5000  0.0000  4 Be 2.59
P  0.7500  0.2500  0.5000  4 Te 2.59



8.
The following is a DFT calculation (meta-GGA SCAN) of CrGeTeI2 at its PBEsol-relaxed geometry.

Fermi-level density of states = 2.54 states/eV/f.u.
total magnetization = 4.01 μB per cell
E = -29.370 eV per atom
crystal system = tetragonal
V = 149 Å³/f.u.
formation energy (no corrections) = 0.272 eV per atom

Cell lengths 5.2720, 5.2720, 5.3448 Å; angles 90.00, 90.00, 90.00 degrees
Last column: nearest neighbours and their distance in Å.
Positions (direct):
Cr  0.0000  0.0000  0.0000  4 I 2.64, 2 Te 2.67
Ge  0.5000  0.5000  0.5000  4 Te 3.73, 8 I 3.75
Te  0.0000  0.0000  0.5000  2 Cr 2.67
I  0.0000  0.5000  0.0000  2 Cr 2.64
I  0.5000  0.0000  0.0000  2 Cr 2.64



9.
The following is a DFT calculation (meta-GGA SCAN) of BaLi2Hg at its PBEsol-relaxed geometry.

energy relative to the elements = -0.372 eV/atom
Fermi-level density of states = 2.71 states/eV/f.u.
total magnetization = 0.00 μB per cell
E = -28.496 eV per atom
crystal system = trigonal
V = 115 Å³/f.u.

Cell lengths 6.4254, 6.4254, 6.4254 Å; angles 43.78, 43.78, 43.78 degrees
Last column: nearest neighbours and their distance in Å.
Positions (direct):
Ba  0.0000  0.0000  0.0000  1 Li 3.31, 4 Hg 3.45-3.63
Li  0.1902  0.1902  0.1902  3 Li 2.83, 3 Hg 2.93
Li  0.4888  0.4888  0.4888  3 Hg 2.79, 3 Li 2.83
Hg  0.8018  0.8018  0.8018  6 Li 2.79-2.93



10.
The following is a DFT calculation (meta-GGA SCAN) of MnAgCl2 at its PBEsol-relaxed geometry.

energy above the most stable polymorph in this dataset = 0.000 eV per atom
Fermi-level density of states = 0.13 states/eV/f.u.
total magnetization = 4.00 μB per cell
E = -17.097 eV per atom
crystal system = orthorhombic
V = 84 Å³/f.u.
formation energy (no corrections) = -0.703 eV per atom

Cell lengths 3.3660, 6.9227, 6.9227 Å; angles 31.31, 90.00, 90.00 degrees
Last column: nearest neighbours and their distance in Å.
Positions (direct):
Mn  0.0000  0.0000  0.0000  3 Cl 2.32-2.35
Ag  0.5000  0.4111  0.4111  4 Cl 2.76, 4 Mn 2.78
Cl  0.0000  0.8262  0.8262  1 Mn 2.32
Cl  0.5000  0.1231  0.1231  2 Mn 2.35